DFT (PBE-GGA) results for a geometry-optimized CeSmAlGa structure. Values from VASP.

Quantum ESPRESSO input file:
```
&SYSTEM
  ibrav = 0, nat = 4, ntyp = 4
/
ATOMIC_SPECIES
Ce 140.12 Ce.upf
Sm 150.36 Sm.upf
Al 26.98 Al.upf
Ga 69.72 Ga.upf
ATOMIC_POSITIONS crystal
Ce 0.0000 0.0000 0.0000
Sm 0.5000 0.5000 0.5000
Al 0.7500 0.7500 0.7500
Ga 0.2500 0.2500 0.2500
CELL_PARAMETERS angstrom
0.0000 3.6664 3.6664
3.6664 0.0000 3.6664
3.6664 3.6664 0.0000
```

Energy of formation ... -0.401 eV per atom
DFT total energy ... -19.0 eV per formula unit